[1]
An optimized crystal structure of Rb2SbTeI6. Source: Alexandria via LeMat-Bulk, functional GGA-PBE.

Structure (CIF):
```
data_Rb2SbTeI6
_chemical_formula_sum 'Rb2 Sb1 Te1 I6'
_cell_length_a 8.7640
_cell_length_b 8.7640
_cell_length_c 8.7640
_cell_angle_alpha 119.76
_cell_angle_beta 119.76
_cell_angle_gamma 90.41
_symmetry_space_group_name_H-M 'P 1'
_symmetry_Int_Tables_number 1
loop_
_symmetry_equiv_pos_as_xyz
'x,y,z'
loop_
_atom_site_label
_atom_site_type_symbol
_atom_site_fract_x
_atom_site_fract_y
_atom_site_fract_z
_atom_site_occupancy
Rb1 Rb 0.2500 0.7500 0.5000 1
Rb2 Rb 0.7500 0.2500 0.5000 1
Sb1 Sb 0.0000 0.0000 0.0000 1
Te1 Te 0.5000 0.5000 0.0000 1
I1 I 0.2442 0.2442 0.4884 1
I2 I 0.2442 0.7558 0.0000 1
I3 I 0.2461 0.2461 0.0000 1
I4 I 0.7539 0.7539 0.0000 1
I5 I 0.7558 0.2442 0.0000 1
I6 I 0.7558 0.7558 0.5116 1
```

Computed properties:
The value obtained for the formation energy from raw total energies is -0.6515 eV per atom. The total energy comes out at -2.5015 eV/atom. The density of states at the Fermi level comes out at 0.41 states/eV/atom. Its space group is No. 139.


[2]
An optimized crystal structure of K2UNi2S6. Source: Alexandria via LeMat-Bulk, functional GGA-PBE.

Structure (CIF):
```
data_K2UNi2S6
_chemical_formula_sum 'K2 U1 Ni2 S6'
_cell_length_a 7.1196
_cell_length_b 7.1196
_cell_length_c 6.8331
_cell_angle_alpha 90.00
_cell_angle_beta 90.00
_cell_angle_gamma 120.00
_symmetry_space_group_name_H-M 'P 1'
_symmetry_Int_Tables_number 1
loop_
_symmetry_equiv_pos_as_xyz
'x,y,z'
loop_
_atom_site_label
_atom_site_type_symbol
_atom_site_fract_x
_atom_site_fract_y
_atom_site_fract_z
_atom_site_occupancy
K1 K 0.3333 0.6667 0.2553 1
K2 K 0.6667 0.3333 0.7447 1
U1 U 0.0000 0.0000 0.0000 1
Ni1 Ni 0.3333 0.6667 0.7629 1
Ni2 Ni 0.6667 0.3333 0.2371 1
S1 S 0.1631 0.3291 0.7757 1
S2 S 0.1660 0.8369 0.7757 1
S3 S 0.3291 0.1660 0.2243 1
S4 S 0.6709 0.8340 0.7757 1
S5 S 0.8340 0.1631 0.2243 1
S6 S 0.8369 0.6709 0.2243 1
```

Computed properties:
The value obtained for the formation energy from raw total energies is -0.7646 eV per atom. The total energy comes out at -5.2928 eV/atom. The density of states at the Fermi level comes out at 0.95 states/eV/atom. Its space group is No. 147.


[3]
An optimized crystal structure of K4U3S8. Source: Alexandria via LeMat-Bulk, functional GGA-PBE.

Structure (CIF):
```
data_K4U3S8
_chemical_formula_sum 'K4 U3 S8'
_cell_length_a 9.1629
_cell_length_b 9.1629
_cell_length_c 9.1629
_cell_angle_alpha 53.60
_cell_angle_beta 53.60
_cell_angle_gamma 53.60
_symmetry_space_group_name_H-M 'P 1'
_symmetry_Int_Tables_number 1
loop_
_symmetry_equiv_pos_as_xyz
'x,y,z'
loop_
_atom_site_label
_atom_site_type_symbol
_atom_site_fract_x
_atom_site_fract_y
_atom_site_fract_z
_atom_site_occupancy
K1 K 0.0000 0.0000 0.0000 1
K2 K 0.1437 0.1437 0.1437 1
K3 K 0.5000 0.5000 0.5000 1
K4 K 0.8563 0.8563 0.8563 1
U1 U 0.0000 0.5000 0.5000 1
U2 U 0.5000 0.0000 0.5000 1
U3 U 0.5000 0.5000 0.0000 1
S1 S 0.2475 0.2475 0.6944 1
S2 S 0.2475 0.6944 0.2475 1
S3 S 0.2741 0.2741 0.2741 1
S4 S 0.3056 0.7525 0.7525 1
S5 S 0.6944 0.2475 0.2475 1
S6 S 0.7259 0.7259 0.7259 1
S7 S 0.7525 0.3056 0.7525 1
S8 S 0.7525 0.7525 0.3056 1
```

Computed properties:
The value obtained for the formation energy from raw total energies is -1.3723 eV per atom. The total energy comes out at -6.1239 eV/atom. The density of states at the Fermi level comes out at 0.82 states/eV/atom. Its space group is No. 166.